Compound: Cs2TlNiF6
Source: the Alexandria database
Functional: PBE+U
Structure: relaxed

extended XYZ file:
```
10
Lattice="-3.238 3.238 4.513 3.238 -3.238 4.513 3.238 3.238 -4.513" Properties=species:S:1:pos:R:3 pbc="T T T"
Cs 3.238 0.000 2.257
Cs 0.000 3.238 2.257
Tl 0.000 0.000 0.000
Ni 0.000 0.000 4.513
F 1.720 1.720 0.000
F 1.518 -1.518 4.513
F 0.000 0.000 2.504
F 0.000 0.000 6.523
F -1.518 1.518 4.513
F 1.518 1.518 4.513
```

Output
V: 18.928 A^3/atom
N(E_F): 0.236 states/eV per atom
Calculated total energy: -39.43 eV per cell
Size of the total moment: 2.19 Bohr magnetons per cell